1.
Below is CdAg2Pd2 after structural relaxation, with properties calculated at the GGA-PBE level. Values from VASP.

Structure (Quantum ESPRESSO input):
```
&SYSTEM
  ibrav = 0, nat = 5, ntyp = 3
/
ATOMIC_SPECIES
Cd 112.41 Cd.upf
Ag 107.87 Ag.upf
Pd 106.42 Pd.upf
ATOMIC_POSITIONS crystal
Cd 0.000 0.000 0.000
Ag 0.250 0.750 0.500
Ag 0.750 0.250 0.500
Pd 0.402 0.402 0.000
Pd 0.598 0.598 0.000
CELL_PARAMETERS angstrom
-1.891 1.891 6.718
1.891 -1.891 6.718
1.891 1.891 -6.718
```

Computed properties:
ΔH_f (0 K)   0.08 eV/atom
DOS at the Fermi energy   0.323 states/eV per atom
Raw total energy   -3.32 eV/atom
Energy above the most stable polymorph in this dataset   242 meV/atom

2.
Below is CdAg4Pd2 after structural relaxation, with properties calculated at the GGA-PBE level. Values from VASP.

Structure (Quantum ESPRESSO input):
```
&SYSTEM
  ibrav = 0, nat = 14, ntyp = 3
/
ATOMIC_SPECIES
Cd 112.41 Cd.upf
Ag 107.87 Ag.upf
Pd 106.42 Pd.upf
ATOMIC_POSITIONS crystal
Cd 0.000 0.000 0.000
Cd 0.000 0.500 0.500
Ag 0.034 0.232 0.691
Ag 0.034 0.268 0.191
Ag 0.474 0.672 0.554
Ag 0.474 0.828 0.054
Ag 0.526 0.172 0.946
Ag 0.526 0.328 0.446
Ag 0.966 0.732 0.809
Ag 0.966 0.768 0.309
Pd 0.270 0.538 0.088
Pd 0.270 0.962 0.588
Pd 0.730 0.038 0.412
Pd 0.730 0.462 0.912
CELL_PARAMETERS angstrom
4.972 0.000 0.000
0.000 9.619 0.000
-0.461 0.000 5.403
```

Computed properties:
ΔH_f (0 K)   0.05 eV/atom
DOS at the Fermi energy   0.322 states/eV per atom
Raw total energy   -3.20 eV/atom
Energy above the most stable polymorph in this dataset   72 meV/atom

3.
Below is CdAg3Pd5 after structural relaxation, with properties calculated at the GGA-PBE level. Values from VASP.

Structure (Quantum ESPRESSO input):
```
&SYSTEM
  ibrav = 0, nat = 18, ntyp = 3
/
ATOMIC_SPECIES
Cd 112.41 Cd.upf
Ag 107.87 Ag.upf
Pd 106.42 Pd.upf
ATOMIC_POSITIONS crystal
Cd 0.250 0.750 0.500
Cd 0.750 0.250 0.500
Ag 0.130 0.630 0.760
Ag 0.250 0.250 0.000
Ag 0.370 0.130 0.500
Ag 0.630 0.870 0.500
Ag 0.750 0.750 0.000
Ag 0.870 0.370 0.240
Pd 0.000 0.000 0.000
Pd 0.081 0.120 0.500
Pd 0.120 0.620 0.039
Pd 0.380 0.419 0.500
Pd 0.419 0.919 0.039
Pd 0.500 0.500 0.000
Pd 0.581 0.081 0.961
Pd 0.620 0.581 0.500
Pd 0.880 0.380 0.961
Pd 0.919 0.880 0.500
CELL_PARAMETERS angstrom
-3.359 3.359 7.350
3.359 -3.359 7.350
3.359 3.359 -7.350
```

Computed properties:
ΔH_f (0 K)   0.22 eV/atom
DOS at the Fermi energy   0.280 states/eV per atom
Raw total energy   -3.71 eV/atom

4.
Below is Cd3Ag2Pd3 after structural relaxation, with properties calculated at the GGA-PBE level. Values from VASP.

Structure (Quantum ESPRESSO input):
```
&SYSTEM
  ibrav = 0, nat = 16, ntyp = 3
/
ATOMIC_SPECIES
Cd 112.41 Cd.upf
Ag 107.87 Ag.upf
Pd 106.42 Pd.upf
ATOMIC_POSITIONS crystal
Cd 0.022 0.978 0.750
Cd 0.141 0.859 0.538
Cd 0.141 0.859 0.962
Cd 0.859 0.141 0.038
Cd 0.859 0.141 0.462
Cd 0.978 0.022 0.250
Ag 0.266 0.734 0.149
Ag 0.266 0.734 0.351
Ag 0.734 0.266 0.649
Ag 0.734 0.266 0.851
Pd 0.321 0.679 0.750
Pd 0.440 0.560 0.586
Pd 0.440 0.560 0.914
Pd 0.560 0.440 0.086
Pd 0.560 0.440 0.414
Pd 0.679 0.321 0.250
CELL_PARAMETERS angstrom
2.114 -4.630 0.000
2.114 4.630 0.000
0.000 0.000 15.083
```

Computed properties:
ΔH_f (0 K)   -0.16 eV/atom
DOS at the Fermi energy   0.286 states/eV per atom
Raw total energy   -3.16 eV/atom
Energy above the most stable polymorph in this dataset   108 meV/atom

5.
Below is CdAg3Pd12 after structural relaxation, with properties calculated at the GGA-PBE level. Values from VASP.

Structure (Quantum ESPRESSO input):
```
&SYSTEM
  ibrav = 0, nat = 16, ntyp = 3
/
ATOMIC_SPECIES
Cd 112.41 Cd.upf
Ag 107.87 Ag.upf
Pd 106.42 Pd.upf
ATOMIC_POSITIONS crystal
Cd 0.000 0.000 0.000
Ag 0.000 0.000 0.251
Ag 0.000 0.000 0.500
Ag 0.000 0.000 0.749
Pd 0.000 0.500 0.126
Pd 0.000 0.500 0.376
Pd 0.000 0.500 0.624
Pd 0.000 0.500 0.874
Pd 0.500 0.000 0.126
Pd 0.500 0.000 0.376
Pd 0.500 0.000 0.624
Pd 0.500 0.000 0.874
Pd 0.500 0.500 0.000
Pd 0.500 0.500 0.251
Pd 0.500 0.500 0.500
Pd 0.500 0.500 0.749
CELL_PARAMETERS angstrom
4.007 0.000 0.000
0.000 4.007 0.000
0.000 0.000 15.957
```

Computed properties:
ΔH_f (0 K)   -0.07 eV/atom
DOS at the Fermi energy   1.152 states/eV per atom
Raw total energy   -4.55 eV/atom

6.
Below is Cd3AgPd5 after structural relaxation, with properties calculated at the GGA-PBE level. Values from VASP.

Structure (Quantum ESPRESSO input):
```
&SYSTEM
  ibrav = 0, nat = 18, ntyp = 3
/
ATOMIC_SPECIES
Cd 112.41 Cd.upf
Ag 107.87 Ag.upf
Pd 106.42 Pd.upf
ATOMIC_POSITIONS crystal
Cd 0.000 0.352 0.250
Cd 0.000 0.648 0.750
Cd 0.352 0.000 0.250
Cd 0.352 0.352 0.750
Cd 0.648 0.000 0.750
Cd 0.648 0.648 0.250
Ag 0.000 0.000 0.000
Ag 0.000 0.000 0.500
Pd 0.000 0.317 0.750
Pd 0.000 0.683 0.250
Pd 0.317 0.000 0.750
Pd 0.317 0.317 0.250
Pd 0.333 0.667 0.000
Pd 0.333 0.667 0.500
Pd 0.667 0.333 0.000
Pd 0.667 0.333 0.500
Pd 0.683 0.000 0.250
Pd 0.683 0.683 0.750
CELL_PARAMETERS angstrom
8.055 0.000 0.000
-4.028 6.976 0.000
0.000 0.000 5.543
```

Computed properties:
ΔH_f (0 K)   -0.27 eV/atom
DOS at the Fermi energy   0.260 states/eV per atom
Raw total energy   -3.77 eV/atom
Energy above the most stable polymorph in this dataset   0 meV/atom

7.
Below is Cd7Ag2Pd3 after structural relaxation, with properties calculated at the GGA-PBE level. Values from VASP.

Structure (Quantum ESPRESSO input):
```
&SYSTEM
  ibrav = 0, nat = 12, ntyp = 3
/
ATOMIC_SPECIES
Cd 112.41 Cd.upf
Ag 107.87 Ag.upf
Pd 106.42 Pd.upf
ATOMIC_POSITIONS crystal
Cd 0.000 0.000 0.000
Cd 0.100 0.900 0.500
Cd 0.275 0.725 0.000
Cd 0.427 0.573 0.000
Cd 0.573 0.427 0.000
Cd 0.725 0.275 0.000
Cd 0.900 0.100 0.500
Ag 0.178 0.822 0.000
Ag 0.822 0.178 0.000
Pd 0.351 0.649 0.500
Pd 0.500 0.500 0.500
Pd 0.649 0.351 0.500
CELL_PARAMETERS angstrom
2.423 -15.588 0.000
2.423 15.588 0.000
0.000 0.000 3.130
```

Computed properties:
ΔH_f (0 K)   -0.16 eV/atom
DOS at the Fermi energy   0.299 states/eV per atom
Raw total energy   -2.46 eV/atom

8.
Below is CdAg6Pd4 after structural relaxation, with properties calculated at the GGA-PBE level. Values from VASP.

Structure (Quantum ESPRESSO input):
```
&SYSTEM
  ibrav = 0, nat = 11, ntyp = 3
/
ATOMIC_SPECIES
Cd 112.41 Cd.upf
Ag 107.87 Ag.upf
Pd 106.42 Pd.upf
ATOMIC_POSITIONS crystal
Cd 0.000 0.000 0.000
Ag 0.000 0.500 0.500
Ag 0.234 0.234 0.688
Ag 0.454 0.766 0.000
Ag 0.500 0.000 0.500
Ag 0.546 0.546 0.312
Ag 0.766 0.454 0.000
Pd 0.090 0.605 0.000
Pd 0.395 0.395 0.485
Pd 0.605 0.090 0.000
Pd 0.910 0.910 0.515
CELL_PARAMETERS angstrom
-3.224 3.224 5.335
3.224 -3.224 5.335
3.224 3.224 -5.335
```

Computed properties:
ΔH_f (0 K)   0.27 eV/atom
DOS at the Fermi energy   0.396 states/eV per atom
Raw total energy   -3.26 eV/atom

9.
Below is Cd4AgPd after structural relaxation, with properties calculated at the GGA-PBE level. Values from VASP.

Structure (Quantum ESPRESSO input):
```
&SYSTEM
  ibrav = 0, nat = 6, ntyp = 3
/
ATOMIC_SPECIES
Cd 112.41 Cd.upf
Ag 107.87 Ag.upf
Pd 106.42 Pd.upf
ATOMIC_POSITIONS crystal
Cd 0.160 0.160 0.337
Cd 0.161 0.161 0.823
Cd 0.839 0.839 0.177
Cd 0.840 0.840 0.663
Ag 0.500 0.500 0.000
Pd 0.500 0.500 0.500
CELL_PARAMETERS angstrom
4.930 -1.921 0.000
4.930 1.921 0.000
-1.994 0.000 6.153
```

Computed properties:
ΔH_f (0 K)   -0.16 eV/atom
DOS at the Fermi energy   0.201 states/eV per atom
Raw total energy   -2.11 eV/atom
Energy above the most stable polymorph in this dataset   0 meV/atom

10.
Below is Cd4Ag2Pd5 after structural relaxation, with properties calculated at the GGA-PBE level. Values from VASP.

Structure (Quantum ESPRESSO input):
```
&SYSTEM
  ibrav = 0, nat = 11, ntyp = 3
/
ATOMIC_SPECIES
Cd 112.41 Cd.upf
Ag 107.87 Ag.upf
Pd 106.42 Pd.upf
ATOMIC_POSITIONS crystal
Cd 0.224 0.224 0.000
Cd 0.242 0.500 0.742
Cd 0.758 0.500 0.258
Cd 0.776 0.776 0.000
Ag 0.076 0.076 0.000
Ag 0.924 0.924 0.000
Pd 0.097 0.351 0.747
Pd 0.396 0.649 0.747
Pd 0.500 0.000 0.500
Pd 0.604 0.351 0.253
Pd 0.903 0.649 0.253
CELL_PARAMETERS angstrom
-2.173 2.820 9.249
2.173 -2.820 9.249
2.173 2.820 -9.249
```

Computed properties:
ΔH_f (0 K)   0.07 eV/atom
DOS at the Fermi energy   0.396 states/eV per atom
Raw total energy   -3.14 eV/atom